# 1
KIn3O: optimized geometry, PBE.

## Properties
Total moment in μB/f.u.: 0.00
Energy relative to the elements, uncorrected in eV/atom: 1.195

Unit cell a=6.210 b=6.210 c=6.210 alpha=90.00 beta=90.00 gamma=90.00
Element x y z (fractional)
K: 0.000 0.000 0.000
O: 0.500 0.500 0.500
In: 0.000 0.500 0.000
In: 0.000 0.000 0.500
In: 0.500 0.000 0.000

---

# 2
RbAcMg4: optimized geometry, PBE.

## Properties
Total moment in μB/f.u.: 0.00
E_form in eV per atom: 0.1148

Unit cell a=6.526 b=6.526 c=6.526 alpha=60.00 beta=60.00 gamma=60.00
Element x y z (fractional)
Ac: 0.000 0.000 0.000
Mg: 0.626 0.626 0.121
Mg: 0.626 0.121 0.626
Mg: 0.626 0.626 0.626
Mg: 0.121 0.626 0.626
Rb: 0.250 0.250 0.250

---

# 3
GdTiCuIr: optimized geometry, PBE.

## Properties
Total moment in μB/f.u.: 7.55
E_form in eV per atom: -0.3307

Unit cell a=4.671 b=4.671 c=4.671 alpha=60.00 beta=60.00 gamma=60.00
Last column: magnetic moment on the atom in μB.
Element x y z (fractional)
Gd: 0.250 0.250 0.250  7.03
Ir: 0.000 0.000 0.000  -0.08
Cu: 0.500 0.500 0.500  0.02
Ti: 0.750 0.750 0.750  0.37

---

# 4
UTcRu2: optimized geometry, PBE.

## Properties
Total moment in μB/f.u.: 0.31
E_form in eV per atom: 0.1580

Unit cell a=2.788 b=2.788 c=9.576 alpha=81.63 beta=81.63 gamma=60.00
Last column: magnetic moment on the atom in μB.
Element x y z (fractional)
Ru: 0.743 0.743 0.772  -0.01
Ru: 0.257 0.257 0.228  -0.01
U: 0.500 0.500 0.500  0.32
Tc: 0.000 0.000 0.000  0.00

---

# 5
PbS3O9: optimized geometry, PBE.

## Properties
Total moment in μB/f.u.: 0.00
Energy relative to the elements, uncorrected in eV/atom: -1.078

Unit cell a=7.866 b=7.866 c=7.520 alpha=90.00 beta=90.00 gamma=97.03
Element x y z (fractional)
Pb: 0.604 0.604 0.000
Pb: 0.396 0.396 0.500
S: 0.203 0.856 0.048
S: 0.797 0.144 0.548
S: 0.856 0.203 0.952
S: 0.144 0.797 0.452
S: 0.304 0.304 0.000
S: 0.696 0.696 0.500
O: 0.318 0.135 0.919
O: 0.682 0.865 0.419
O: 0.135 0.318 0.081
O: 0.865 0.682 0.581
O: 0.350 0.437 0.856
O: 0.650 0.563 0.356
O: 0.437 0.350 0.144
O: 0.563 0.650 0.644
O: 0.209 0.633 0.418
O: 0.791 0.367 0.918
O: 0.633 0.209 0.582
O: 0.367 0.791 0.082
O: 0.243 0.920 0.566
O: 0.757 0.080 0.066
O: 0.920 0.243 0.434
O: 0.080 0.757 0.934
O: 0.113 0.887 0.250
O: 0.887 0.113 0.750